## SrCe2ThP4 (GGA-PBE)

Data for an optimized crystal structure of SrCe2ThP4.

Values from the calculation:
**Space group**: No. 10
**E_form**: -1413 meV per atom
**Crystal system**: monoclinic
**E_tot**: -6.739 eV/atom

extended XYZ file:
```
8
Lattice="-0.147 2.845 3.039 2.738 -4.812 4.638 7.218 0.444 -0.068" Properties=species:S:1:pos:R:3 pbc="T T T"
Sr 8.514 -0.539 3.770
Ce 7.218 0.444 -0.068
Ce 3.536 1.645 1.485
Th 4.978 -2.184 2.285
P 7.389 -3.360 3.502
P 2.421 1.837 4.106
P 3.850 -2.104 5.011
P 5.960 0.581 2.598
```